VASP calculation (PBEsol) on an optimized crystal structure of ZnCoTe2.

Cell: 3.7912 3.7782 6.8215 Å, 105.96 90.00 120.11°
Last column: nearest neighbours and their distance in Å.
Element x y z (fractional)
Zn 0.0000 0.0000 0.5000  6 Te 2.88-2.90
Co 0.5000 0.0000 0.0000  6 Te 2.56
Te 0.2343 0.4686 0.2069  3 Co 2.56
Te 0.7657 0.5314 0.7931  3 Co 2.56

Properties
Formation energy from raw total energies ... -0.0580 eV/atom
Fermi-level density of states ... 2.66 states/eV/cell

***

VASP calculation (PBEsol) on an optimized crystal structure of MnZn2Fe.

Cell: 3.6683 3.6683 4.4735 Å, 114.21 114.21 90.00°
Last column: nearest neighbours and their distance in Å.
Element x y z (fractional)
Mn 0.0000 0.0000 0.0000  8 Zn 2.59, 4 Fe 2.59
Fe 0.5000 0.5000 0.0000  8 Zn 2.59, 4 Mn 2.59
Zn 0.7500 0.2500 0.5000  4 Mn 2.59, 4 Fe 2.59, 4 Zn 2.59
Zn 0.2500 0.7500 0.5000  4 Mn 2.59, 4 Fe 2.59, 4 Zn 2.59

Properties
Energy relative to the elements ... 4.7 kJ/mol of atoms
Offset from the most stable computed form ... 33.7 meV per atom
Fermi-level density of states ... 2.64 states/eV/cell

***

VASP calculation (PBEsol) on an optimized crystal structure of Co2AuCl.

Cell: 2.7421 4.1434 5.4267 Å, 90.00 90.00 90.00°
Last column: nearest neighbours and their distance in Å.
Element x y z (fractional)
Co 0.5000 0.0000 0.5000  4 Cl 2.48, 2 Co 2.74
Au 0.5000 0.5000 0.0000  4 Co 2.48, 2 Au 2.74
Cl 0.0000 0.5000 0.5000  4 Co 2.48, 2 Cl 2.74
Co 0.0000 0.0000 0.0000  4 Au 2.48, 2 Co 2.74

Properties
Formation energy from raw total energies ... 0.7529 eV/atom
Offset from the most stable computed form ... 468.7 meV per atom
Fermi-level density of states ... 7.33 states/eV/cell

***

VASP calculation (PBEsol) on an optimized crystal structure of TaMo2Cl.

Cell: 3.0094 4.7421 5.1592 Å, 117.16 106.96 90.00°
Last column: nearest neighbours and their distance in Å.
Element x y z (fractional)
Cl 0.2536 0.8312 0.5072  4 Mo 2.37-2.46, 2 Ta 2.51
Mo 0.7451 0.2080 0.4902  2 Cl 2.37
Mo 0.9725 0.9540 0.9450  2 Cl 2.46
Ta 0.5288 0.5068 0.0577  2 Cl 2.51

Properties
Formation energy from raw total energies ... 0.4268 eV/atom
Offset from the most stable computed form ... 0.0 meV per atom
Fermi-level density of states ... 3.20 states/eV/cell

***

VASP calculation (PBEsol) on an optimized crystal structure of Al2SiPd2.

Cell: 2.8116 7.2810 7.2810 Å, 90.00 90.00 90.00°
Last column: nearest neighbours and their distance in Å.
Element x y z (fractional)
Si 0.0000 0.5000 0.5000  4 Pd 2.81, 2 Si 2.81, 8 Al 3.09
Al 0.5000 0.6558 0.8442  6 Pd 2.51-2.58, 2 Al 2.81
Pd 0.0000 0.1416 0.3584  6 Al 2.51-2.58, 2 Si 2.81, 2 Pd 2.81
Pd 0.0000 0.6416 0.1416  6 Al 2.51-2.58, 2 Si 2.81, 2 Pd 2.81
Si 0.0000 0.0000 0.0000  4 Pd 2.81, 2 Si 2.81, 8 Al 3.09
Al 0.5000 0.3442 0.1558  6 Pd 2.51-2.58, 2 Al 2.81
Pd 0.0000 0.3584 0.8584  6 Al 2.51-2.58, 2 Si 2.81, 2 Pd 2.81
Al 0.5000 0.8442 0.3442  6 Pd 2.51-2.58, 2 Al 2.81
Pd 0.0000 0.8584 0.6416  6 Al 2.51-2.58, 2 Si 2.81, 2 Pd 2.81
Al 0.5000 0.1558 0.6558  6 Pd 2.51-2.58, 2 Al 2.81

Properties
Formation energy from raw total energies ... -0.5192 eV/atom
Offset from the most stable computed form ... 0.0 meV per atom
Fermi-level density of states ... 3.72 states/eV/cell

***

VASP calculation (PBEsol) on an optimized crystal structure of AlPbW2.

Cell: 4.0945 4.0945 5.0034 Å, 114.15 114.15 90.00°
Last column: nearest neighbours and their distance in Å.
Element x y z (fractional)
W 0.0000 0.0000 0.0000  4 Pb 2.89, 4 W 2.89, 4 Al 2.90
W 0.7500 0.2500 0.5000  4 Al 2.89, 4 W 2.89, 4 Pb 2.90
Al 0.5000 0.5000 0.0000  4 Pb 2.89, 8 W 2.89-2.90
Pb 0.2500 0.7500 0.5000  4 Al 2.89, 8 W 2.89-2.90

Properties
Energy relative to the elements ... 69.0 kJ/mol of atoms
Offset from the most stable computed form ... 124.0 meV per atom
Fermi-level density of states ... 2.68 states/eV/cell

***

VASP calculation (PBEsol) on an optimized crystal structure of SbAsAu2.

Cell: 3.9370 3.9370 6.5751 Å, 72.58 72.58 60.00°
Last column: nearest neighbours and their distance in Å.
Element x y z (fractional)
Sb 0.5000 0.5000 0.5000  6 Au 2.82
As 0.0000 0.0000 0.0000  6 Au 2.67
Au 0.7428 0.7428 0.7716  3 As 2.67, 3 Sb 2.82
Au 0.2572 0.2572 0.2284  3 As 2.67, 3 Sb 2.82

Properties
Formation energy from raw total energies ... 0.0280 eV/atom
Offset from the most stable computed form ... 9.8 meV per atom
Fermi-level density of states ... 1.97 states/eV/cell

***

VASP calculation (PBEsol) on an optimized crystal structure of CuSiMo2.

Cell: 2.6592 4.7720 4.7720 Å, 113.42 96.24 96.24°
Last column: nearest neighbours and their distance in Å.
Element x y z (fractional)
Si 0.5000 0.0000 0.0000  8 Mo 2.60-2.85, 2 Cu 2.62, 2 Si 2.66
Cu 0.5000 0.5000 0.5000  8 Mo 2.60-2.85, 2 Si 2.62, 2 Cu 2.66
Mo 0.0000 0.5000 0.0000  4 Si 2.60-2.85, 4 Cu 2.60-2.85, 4 Mo 2.62-2.66
Mo 0.0000 0.0000 0.5000  4 Cu 2.60-2.85, 4 Si 2.60-2.85, 4 Mo 2.62-2.66

Properties
Formation energy from raw total energies ... 0.0123 eV/atom
Fermi-level density of states ... 2.37 states/eV/cell

***

So what do the calculations give for magnetization? Going down the list: 0.000; 1.224; 0.966; 0.000; 0.000; 0.000; 0.000; 0.000 μB per atom.